Record 1
The following is a PBE-GGA calculation of a relaxed structure of NbAl2ReH, from Alexandria.

Unit cell a=5.201 b=4.634 c=5.201 alpha=90.00 beta=90.00 gamma=90.00
Each line ends with the local moment (μB).
Atoms (fractional coordinates):
Al: 0.000 0.000 0.500  0.00
Re: 0.000 0.500 0.000  0.22
Al: 0.500 0.000 0.000  0.01
H: 0.500 0.500 0.500  0.32
Nb: 0.000 0.000 0.000  0.02

SG: P4/mmm, No. 123
Density of states at the Fermi level: 5.101 states/eV/cell
Crystal system: tetragonal
M_tot: 0.99 μB per formula unit
Total DFT energy (no corrections): -24.2 eV per cell

---

Record 2
The following is a PBE-GGA calculation of a relaxed structure of Ba2SrIn2Sn2, from Alexandria.

Unit cell a=5.297 b=5.297 c=10.826 alpha=75.84 beta=75.84 gamma=60.00
Atoms (fractional coordinates):
In: 0.409 0.409 0.772
Sr: 0.000 0.000 0.000
In: 0.591 0.591 0.228
Ba: 0.130 0.130 0.610
Sn: 0.269 0.269 0.194
Sn: 0.731 0.731 0.806
Ba: 0.870 0.870 0.390

SG: R-3m, No. 166
Density of states at the Fermi level: 5.477 states/eV/cell
Crystal system: trigonal
M_tot: 0.00 μB per formula unit
Energy relative to the elements: -0.367 eV/atom

---

Record 3
The following is a PBE-GGA calculation of a relaxed structure of Ti2GaPt, from Alexandria.

Unit cell a=4.010 b=3.947 c=3.947 alpha=90.00 beta=90.00 gamma=90.00
Atoms (fractional coordinates):
Pt: 0.500 0.000 0.000
Ga: 0.500 0.500 0.500
Ti: 0.000 0.500 0.000
Ti: 0.000 0.000 0.500

SG: P4/mmm, No. 123
Density of states at the Fermi level: 4.293 states/eV/cell
Crystal system: tetragonal
M_tot: 0.00 μB per formula unit
Energy relative to the elements: -0.697 eV/atom

---

Record 4
The following is a PBE-GGA calculation of a relaxed structure of Ti3GaCo2, from Alexandria.

Unit cell a=5.699 b=5.935 c=7.023 alpha=115.00 beta=113.94 gamma=90.00
Atoms (fractional coordinates):
Ti: 0.500 0.250 0.000
Ti: 0.500 0.750 0.000
Co: 0.440 0.640 0.281
Ga: 0.000 0.000 0.000
Co: 0.841 0.140 0.281
Ti: 0.775 0.025 0.549
Co: 0.560 0.360 0.719
Ti: 0.225 0.475 0.451
Ga: 0.000 0.500 0.000
Ti: 0.225 0.975 0.451
Ti: 0.775 0.525 0.549
Co: 0.159 0.860 0.719

SG: Ibam, No. 72
Density of states at the Fermi level: 10.492 states/eV/cell
Crystal system: orthorhombic
M_tot: 0.00 μB per formula unit
Energy relative to the elements: -0.126 eV/atom
Offset from the most stable computed form: 263.4 meV per atom

---

Record 5
The following is a PBE-GGA calculation of a relaxed structure of YSb2As, from Alexandria.

Unit cell a=3.977 b=4.935 c=5.122 alpha=90.00 beta=90.00 gamma=90.00
Atoms (fractional coordinates):
Y: 0.500 0.000 0.500
As: 0.000 0.500 0.500
Sb: 0.500 0.500 0.000
Sb: 0.000 0.000 0.000

SG: Pmmm, No. 47
E_form (uncorrected): -421 meV per atom
Density of states at the Fermi level: 1.398 states/eV/cell
Crystal system: orthorhombic
M_tot: 0.00 μB per formula unit

---

Record 6
The following is a PBE-GGA calculation of a relaxed structure of Nb4PtRh3, from Alexandria.

Unit cell a=2.808 b=4.862 c=9.695 alpha=90.00 beta=90.00 gamma=90.00
Atoms (fractional coordinates):
Nb: 0.000 0.000 0.500
Rh: 0.500 0.000 0.250
Rh: 0.500 0.000 0.750
Nb: 0.000 0.000 0.000
Pt: 0.500 0.500 0.000
Nb: 0.000 0.500 0.744
Rh: 0.500 0.500 0.500
Nb: 0.000 0.500 0.256

SG: Pmmm, No. 47
Density of states at the Fermi level: 9.040 states/eV/cell
Crystal system: orthorhombic
M_tot: 0.00 μB per formula unit
Energy relative to the elements: -0.327 eV/atom

---

Record 7
The following is a PBE-GGA calculation of a relaxed structure of CeCuBiN, from Alexandria.

Unit cell a=3.403 b=3.403 c=7.321 alpha=103.44 beta=103.44 gamma=90.00
Each line ends with the local moment (μB).
Atoms (fractional coordinates):
Cu: 0.206 0.206 0.413  -0.01
Bi: 0.591 0.591 0.181  -0.01
Ce: 0.870 0.870 0.739  0.44
N: 0.345 0.345 0.691  -0.03

SG: I4mm, No. 107
E_form (uncorrected): -552 meV per atom
Density of states at the Fermi level: 4.434 states/eV/cell
Crystal system: tetragonal
M_tot: 0.46 μB per formula unit

---

Record 8
The following is a PBE-GGA calculation of a relaxed structure of Sr2AcZn6, from Alexandria.

Unit cell a=4.112 b=8.023 c=8.023 alpha=120.00 beta=90.02 gamma=90.00
Atoms (fractional coordinates):
Sr: 0.000 0.333 0.667
Zn: 0.500 0.335 0.335
Zn: 0.500 0.000 0.665
Zn: 0.500 0.665 0.000
Sr: 0.000 0.667 0.333
Zn: 0.500 0.000 0.335
Zn: 0.500 0.665 0.665
Zn: 0.500 0.335 0.000
Ac: 0.000 0.000 0.000

SG: P6/mmm, No. 191
Density of states at the Fermi level: 6.570 states/eV/cell
Crystal system: hexagonal
M_tot: 0.00 μB per formula unit
Energy relative to the elements: -0.255 eV/atom